# 1
A geometry-optimized LiBe2Pb structure, computed with PBE.

Lattice parameters (Å, degrees): 4.3821 4.3821 4.2216 74.99 74.99 54.03
Closest atoms and distances in Å follow each position.
Positions (direct):
Be  0.0325  0.0325  0.8659  2 Be 2.34, 3 Li 2.39-2.57
Be  0.4675  0.4675  0.6341  2 Be 2.34, 3 Li 2.39-2.57
Li  0.7500  0.7500  0.7500  6 Be 2.39-2.57
Pb  0.2500  0.2500  0.2500  4 Be 2.66-2.67, 4 Li 2.90

Values from the calculation:
The space group is C2/m (12). The calculation puts the total magnetization at 0.000 μB per atom. The value obtained for the calculated total energy is -2.858 eV per atom. The calculation puts the formation energy at 1.644 eV per formula unit.

# 2
A geometry-optimized LiBePb2 structure, computed with PBE.

Lattice parameters (Å, degrees): 3.9852 3.4265 6.8103 73.91 90.00 90.00
Closest atoms and distances in Å follow each position.
Positions (direct):
Li  0.5000  0.7500  0.7500  8 Pb 3.13-3.20, 2 Be 3.36, 2 Li 3.43
Pb  0.0000  0.0815  0.0196  2 Be 2.70
Pb  0.0000  0.4185  0.4804  2 Be 2.70
Be  0.5000  0.2500  0.2500  4 Pb 2.70

Values from the calculation:
The space group is P2/m (10). The calculation puts the total magnetization at 0.000 μB per atom. The value obtained for the calculated total energy is -3.041 eV per atom. The calculation puts the formation energy at 0.891 eV per formula unit.

# 3
A geometry-optimized LiBe2Pb structure, computed with PBE.

Lattice parameters (Å, degrees): 3.9124 3.9124 9.1872 77.71 77.71 90.00
Closest atoms and distances in Å follow each position.
Positions (direct):
Be  0.5336  0.1250  0.2500  2 Be 2.32, 2 Li 2.48
Be  0.3750  0.4664  0.7500  2 Be 2.32, 2 Li 2.48
Be  0.8750  0.7836  0.7500  2 Be 2.32, 2 Li 2.48
Be  0.2164  0.6250  0.2500  2 Be 2.32, 2 Li 2.48
Li  0.2500  0.7500  0.5000  4 Be 2.48, 4 Pb 2.77
Li  0.5000  0.5000  0.0000  4 Be 2.48, 4 Pb 2.77
Pb  0.0000  0.0000  0.0000  4 Be 2.75, 4 Li 2.77
Pb  0.7500  0.2500  0.5000  4 Be 2.75, 4 Li 2.77

Values from the calculation:
The space group is I-42d (122). The calculation puts the total magnetization at 0.000 μB per atom. The value obtained for the calculated total energy is -2.647 eV per atom. The calculation puts the formation energy at 2.486 eV per formula unit.

# 4
A geometry-optimized LiBePb2 structure, computed with PBE.

Lattice parameters (Å, degrees): 4.3733 3.7927 5.4240 70.22 90.00 90.00
Closest atoms and distances in Å follow each position.
Positions (direct):
Pb  0.0000  0.9900  0.8979  3 Be 2.87-2.94, 4 Li 2.95-2.96
Pb  0.5000  0.2645  0.3492  3 Li 2.88-2.91, 4 Be 2.94-2.99
Be  0.0000  0.6951  0.4746  2 Li 2.68, 7 Pb 2.87-2.99
Li  0.5000  0.5504  0.7783  2 Be 2.68, 7 Pb 2.88-2.96

Values from the calculation:
The space group is Pm (6). The calculation puts the total magnetization at 0.000 μB per atom. The value obtained for the calculated total energy is -3.056 eV per atom. The calculation puts the formation energy at 0.832 eV per formula unit.